The following is a DFT calculation (PBE) of a relaxed Pm3TeCO crystal.

The space group is P2_1/m (No. 11) and the conventional cell measures 8.484, 3.981 and 8.959 Å, with angles of 90.00, 106.77 and 90.00 degrees. The distinct sites, in fractional coordinates, are Pm at (0.044, 0.250, 0.355), Pm at (0.307, 0.250, 0.954), Pm at (0.367, 0.750, 0.639), Te at (0.301, 0.750, 0.260), C at (0.168, 0.250, 0.643) and O at (0.412, 0.750, 0.904).

The total moment comes out at 0.0 μB/cell. Its energy relative to the elements, uncorrected is -1497 meV/atom.


The following is a DFT calculation (PBE) of a relaxed DySi2Ni5Pt crystal.

The space group is P4/mmm (No. 123) and the conventional cell measures 3.731, 3.731 and 8.828 Å, with angles of 90.00, 90.00 and 90.00 degrees. The distinct sites, in fractional coordinates, are Dy at (0.000, 0.000, 0.000), Si at (0.500, 0.500, 0.371), Ni at (0.000, 0.500, 0.232), Ni at (0.500, 0.500, 0.000) and Pt at (0.000, 0.000, 0.500).

The total moment comes out at 0.0 μB/cell. Its energy relative to the elements, uncorrected is -302 meV/atom.


The following is a DFT calculation (PBE) of a relaxed DyPd3Pt2 crystal.

The space group is R-3m (No. 166, hexagonal axes) and the conventional cell measures 5.7163, 5.7163 and 21.3758 Å, with angles of 90.00, 90.00 and 120.00 degrees. The distinct sites, in fractional coordinates, are Dy at (0.0000, 0.0000, 0.2195), Pd at (0.0056, 0.5028, 0.2239), Pt at (0.0000, 0.0000, 0.0000) and Pt at (0.0000, 0.5000, 0.0000).

For the energy above the lowest structure with this stoichiometry, the calculation gives 0.0000 eV per atom. The total moment comes out at 0.0 μB/cell. The formation energy comes out at -0.6051 eV/atom.